Record 1
An optimized crystal structure of Ag2P2Pt, computed with PBEsol.

Geometry as POSCAR:
```
Ag2P2Pt
1.0
-4.0948 -1.8885 1.8781
3.1435 -2.5641 4.2752
-0.6670 4.7924 3.3647
Ag Pt P
4 2 4
Direct
0.5000 0.3196 0.8196
0.5000 0.6804 0.1804
0.5000 0.8196 0.6804
0.5000 0.1804 0.3196
0.0000 0.0000 0.0000
0.0000 0.5000 0.5000
0.0000 0.8691 0.6309
0.0000 0.6309 0.1309
0.0000 0.1309 0.3691
0.0000 0.3691 0.8691
```

## Properties
N(E_F), states/eV per cell: 3.756
Space group: P4/mbm
Formation enthalpy at 0 K, eV/atom: -0.155

Record 2
An optimized crystal structure of Rb4BaV6O18, computed with PBEsol.

Geometry as POSCAR:
```
Rb4BaV6O18
1.0
10.2335 -0.0270 -0.0245
1.0553 10.1790 -0.0245
1.0553 0.9491 10.1347
O Ba Rb V
36 2 8 12
Direct
0.1757 0.1647 0.5291
0.7426 0.2638 0.2761
0.6757 0.0291 0.6647
0.2638 0.2761 0.7426
0.3526 0.6627 0.0039
0.7262 0.9923 0.9150
0.8075 0.5008 0.8148
0.7644 0.4515 0.5699
0.9923 0.9150 0.7262
0.0008 0.3075 0.3148
0.7761 0.7638 0.2426
0.2262 0.4150 0.4923
0.6647 0.6757 0.0291
0.4150 0.4923 0.2262
0.1627 0.8526 0.5039
0.2761 0.7426 0.2638
0.2644 0.0699 0.9515
0.7638 0.2426 0.7761
0.9515 0.2644 0.0699
0.0039 0.3526 0.6627
0.2426 0.7761 0.7638
0.0699 0.9515 0.2644
0.8148 0.8075 0.5008
0.5291 0.1757 0.1647
0.3148 0.0008 0.3075
0.9150 0.7262 0.9923
0.8526 0.5039 0.1627
0.5039 0.1627 0.8526
0.4923 0.2262 0.4150
0.4515 0.5699 0.7644
0.6627 0.0039 0.3526
0.5008 0.8148 0.8075
0.3075 0.3148 0.0008
0.5699 0.7644 0.4515
0.1647 0.5291 0.1757
0.0291 0.6647 0.6757
0.2712 0.2712 0.2712
0.7712 0.7712 0.7712
0.9159 0.0795 0.4907
0.4907 0.9159 0.0795
0.4964 0.4964 0.4964
0.5795 0.4159 0.9907
0.9964 0.9964 0.9964
0.4159 0.9907 0.5795
0.0795 0.4907 0.9159
0.9907 0.5795 0.4159
0.7044 0.8317 0.3904
0.8904 0.3317 0.2044
0.6038 0.1688 0.3011
0.1038 0.8011 0.6688
0.1688 0.3011 0.6038
0.3904 0.7044 0.8317
0.2044 0.8904 0.3317
0.3011 0.6038 0.1688
0.3317 0.2044 0.8904
0.8011 0.6688 0.1038
0.6688 0.1038 0.8011
0.8317 0.3904 0.7044
```

## Properties
N(E_F), states/eV per cell: 0.000
Space group: R3c
Formation energy from raw total energies, eV per atom: -2.43

Taking the records one at a time from the top gives magnetic moment values of 0.00; 0.27 μB per formula unit.